Pm2P3Pt9 | PBE | optimized geometry

For the spin magnetization, the calculation gives 0.00 Bohr magnetons per cell. The formation energy from the elements comes out at -920 kJ/mol of formula units.

Cell: 7.919 7.919 9.837 Å, 90.35 113.23 120.15°
Positions (direct):
Pt1 0.890 0.140 0.750
Pm1 0.994 0.590 0.749
Pt2 0.421 0.629 0.919
P1 0.825 0.623 0.007
Pt3 0.551 0.213 0.560
Pt4 0.847 0.009 0.060
Pt5 0.782 0.307 0.918
Pm2 0.342 0.245 0.751
Pt6 0.218 0.693 0.082
Pt7 0.790 0.498 0.419
Pm3 0.006 0.410 0.251
Pt8 0.579 0.371 0.081
Pt9 0.890 0.864 0.582
Pt10 0.436 0.911 0.720
Pt11 0.691 0.716 0.780
P2 0.500 0.500 0.500
Pt12 0.564 0.089 0.280
Pt13 0.210 0.502 0.581
P3 0.884 0.182 0.507
Pt14 0.449 0.787 0.440
Pt15 0.309 0.284 0.220
P4 0.500 0.000 0.000
P5 0.116 0.818 0.493
Pt16 0.110 0.860 0.250
Pm4 0.658 0.755 0.249
P6 0.175 0.377 0.993
Pt17 0.110 0.136 0.418
Pt18 0.153 0.991 0.940